No. 1
RbTaHg after structural relaxation, computed with PBE.

```
RbTaHg
1.0
5.354 0.000 0.000
0.000 5.354 0.000
0.000 0.000 7.701
Rb Ta Hg
2 2 2
direct
0.250 0.250 0.129
0.750 0.750 0.871
0.250 0.250 0.581
0.750 0.750 0.419
0.250 0.750 0.500
0.750 0.250 0.500
```

Summary:
E above lowest polymorph: 209 kJ/mol of formula units
Formation enthalpy at 0 K: 3.2 eV/f.u.


No. 2
Tb3Pm6DySc2 after structural relaxation, computed with PBE.

```
Tb3Pm6DySc2
1.0
3.091 -5.352 0.000
3.091 5.352 0.000
-2.055 0.000 11.476
Tb Pm Dy Sc
3 6 1 2
direct
0.000 0.000 0.000
0.333 0.667 0.000
0.667 0.333 0.000
0.082 0.418 0.256
0.245 0.245 0.744
0.418 0.082 0.256
0.582 0.918 0.744
0.755 0.755 0.256
0.918 0.582 0.744
0.500 0.500 0.500
0.167 0.833 0.500
0.833 0.167 0.500
```

Summary:
Formation enthalpy at 0 K: 0.4 eV/f.u.


No. 3
Ac8Te4As3Ir after structural relaxation, computed with PBE.

```
Ac8Te4As3Ir
1.0
4.587 2.648 7.740
-4.587 2.648 7.740
0.000 -5.297 7.740
Ac Te As Ir
8 4 3 1
direct
0.242 0.242 0.242
0.251 0.733 0.733
0.267 0.267 0.749
0.267 0.749 0.267
0.733 0.251 0.733
0.733 0.733 0.251
0.749 0.267 0.267
0.758 0.758 0.758
0.000 0.000 0.000
0.000 0.500 0.500
0.500 0.000 0.500
0.500 0.500 0.000
0.000 0.000 0.500
0.000 0.500 0.000
0.500 0.000 0.000
0.500 0.500 0.500
```

Summary:
Formation energy from raw total energies: -1424 meV/atom


No. 4
KReBr6 after structural relaxation, computed with PBE.

```
KReBr6
1.0
5.111 -4.641 0.000
5.111 4.641 0.000
-1.086 0.000 11.804
K Re Br
2 2 12
direct
0.014 0.986 0.750
0.986 0.014 0.250
0.000 0.500 0.500
0.500 0.000 0.000
0.094 0.519 0.300
0.174 0.194 0.009
0.194 0.174 0.509
0.295 0.659 0.572
0.341 0.705 0.928
0.481 0.906 0.200
0.519 0.094 0.800
0.659 0.295 0.072
0.705 0.341 0.428
0.806 0.826 0.491
0.826 0.806 0.991
0.906 0.481 0.700
```

Summary:
E above lowest polymorph: 0 kJ/mol of formula units
Formation energy from raw total energies: -634 meV/atom


No. 5
ThGa9Fe2 after structural relaxation, computed with PBE.

```
ThGa9Fe2
1.0
-5.169 5.169 3.686
5.169 -5.169 3.686
5.169 5.169 -3.686
Th Ga Fe
2 18 4
direct
0.375 0.625 0.750
0.625 0.375 0.250
0.125 0.875 0.250
0.147 0.572 0.331
0.147 0.816 0.575
0.184 0.259 0.331
0.184 0.853 0.925
0.259 0.184 0.831
0.259 0.428 0.075
0.428 0.259 0.575
0.428 0.853 0.169
0.572 0.147 0.831
0.572 0.741 0.425
0.741 0.572 0.925
0.741 0.816 0.169
0.816 0.147 0.075
0.816 0.741 0.669
0.853 0.184 0.425
0.853 0.428 0.669
0.875 0.125 0.750
0.000 0.000 0.000
0.000 0.000 0.500
0.000 0.500 0.000
0.500 0.000 0.500
```

Summary:
Formation enthalpy at 0 K: -1.7 eV/f.u.


No. 6
NaScOs2Ru after structural relaxation, computed with PBE.

```
NaScOs2Ru
1.0
4.687 0.000 0.000
0.000 4.687 0.000
0.000 0.000 4.748
Na Sc Os Ru
1 1 2 1
direct
0.000 0.000 0.000
0.500 0.500 0.000
0.000 0.500 0.500
0.500 0.000 0.500
0.000 0.000 0.500
```

Summary:
Formation enthalpy at 0 K: 6.4 eV/f.u.


| no. | total magnetization (Bohr magnetons per cell) | energy (eV per atom) |
| --- | --- | --- |
| 1 | 2.54 | -3.30 |
| 2 | 0.00 | -4.94 |
| 3 | 0.98 | -5.69 |
| 4 | 4.00 | -3.58 |
| 5 | 0.00 | -4.44 |
| 6 | 0.00 | -6.60 |